1.
Here is a geometry-optimized La3InCo structure from the Alexandria database. Energies are from PBE.

ΔH_f (0 K) = -0.257 eV/atom
D(E_F) = 3.86 states/eV/f.u.
total moment = 0.00 μB/f.u.
offset from the most stable computed form = 0.035 eV/atom

a = 7.319 Å, b = 7.321 Å, c = 7.341 Å
α = 115.63°, β = 90.35°, γ = 119.25°
Fractional coordinates of all 10 atoms:
La: 0.000 0.000 0.000
La: 0.000 0.479 0.922
La: 0.075 0.995 0.501
La: 0.465 0.927 0.851
La: 0.520 0.478 0.372
La: 0.591 0.037 0.405
In: 0.050 0.483 0.406
In: 0.526 0.487 0.902
Co: 0.767 0.966 0.678
Co: 0.832 0.608 0.672

---

2.
Here is a geometry-optimized Mg2PdO2 structure from the Alexandria database. Energies are from PBE.

D(E_F) = 4.23 states/eV/f.u.
raw formation energy = -1.39 eV per atom
total moment = 0.00 μB/f.u.
offset from the most stable computed form = 0.000 eV/atom

a = 5.431 Å, b = 5.431 Å, c = 5.431 Å
α = 138.01°, β = 138.01°, γ = 60.88°
Fractional coordinates of all 5 atoms:
Mg: 0.196 0.196 0.000
Mg: 0.804 0.804 0.000
Pd: 0.500 0.500 0.000
O: 0.250 0.750 0.500
O: 0.750 0.250 0.500

---

3.
Here is a geometry-optimized ZrMn2P structure from the Alexandria database. Energies are from PBE.

ΔH_f (0 K) = -0.228 eV/atom
D(E_F) = 3.03 states/eV/f.u.
total moment = 3.00 μB/f.u.

a = 3.197 Å, b = 3.197 Å, c = 5.558 Å
α = 90.00°, β = 90.00°, γ = 90.00°
Fractional coordinates of all 4 atoms:
Zr: 0.000 0.000 0.000
Mn: 0.500 0.500 0.292
Mn: 0.500 0.500 0.708
P: 0.000 0.000 0.500

---

4.
Here is a geometry-optimized PmAl3Ag structure from the Alexandria database. Energies are from PBE.

ΔH_f (0 K) = -0.286 eV/atom
D(E_F) = 1.67 states/eV/f.u.
total moment = 0.00 μB/f.u.
offset from the most stable computed form = 0.117 eV/atom

a = 7.222 Å, b = 7.222 Å, c = 6.776 Å
α = 102.08°, β = 102.08°, γ = 36.30°
Fractional coordinates of all 10 atoms:
Pm: 0.130 0.130 0.465
Pm: 0.870 0.870 0.535
Al: 0.095 0.095 0.937
Al: 0.284 0.284 0.196
Al: 0.331 0.331 0.821
Al: 0.669 0.669 0.179
Al: 0.716 0.716 0.804
Al: 0.905 0.905 0.063
Ag: 0.480 0.480 0.259
Ag: 0.520 0.520 0.741

---

5.
Here is a geometry-optimized CeP2Pt structure from the Alexandria database. Energies are from PBE.

ΔH_f (0 K) = -0.893 eV/atom
D(E_F) = 5.42 states/eV/f.u.
total moment = 0.82 μB/f.u.

a = 5.867 Å, b = 5.867 Å, c = 5.867 Å
α = 39.78°, β = 39.78°, γ = 39.78°
Fractional coordinates of all 4 atoms:
Ce: 0.000 0.000 0.000
P: 0.234 0.234 0.234
P: 0.766 0.766 0.766
Pt: 0.500 0.500 0.500

---

6.
Here is a geometry-optimized RuW2Br structure from the Alexandria database. Energies are from PBE.

D(E_F) = 4.70 states/eV/f.u.
raw formation energy = 0.49 eV per atom
total moment = 0.00 μB/f.u.
offset from the most stable computed form = 0.000 eV/atom

a = 3.212 Å, b = 3.120 Å, c = 7.539 Å
α = 90.00°, β = 90.54°, γ = 90.00°
Fractional coordinates of all 4 atoms:
Ru: 0.000 0.000 0.000
W: 0.495 0.500 0.824
W: 0.993 0.000 0.616
Br: 0.981 0.500 0.334

---

7.
Here is a geometry-optimized GdThHgPt structure from the Alexandria database. Energies are from PBE.

ΔH_f (0 K) = -0.654 eV/atom
D(E_F) = 4.14 states/eV/f.u.
total moment = 7.26 μB/f.u.

a = 5.215 Å, b = 5.215 Å, c = 5.215 Å
α = 60.00°, β = 60.00°, γ = 60.00°
Fractional coordinates of all 4 atoms:
Gd: 0.000 0.000 0.000
Th: 0.500 0.500 0.500
Hg: 0.250 0.250 0.250
Pt: 0.750 0.750 0.750

---

8.
Here is a geometry-optimized RbZrTe2 structure from the Alexandria database. Energies are from PBE.

D(E_F) = 2.92 states/eV/f.u.
raw formation energy = -0.71 eV per atom
total moment = 1.00 μB/f.u.

a = 7.728 Å, b = 7.728 Å, c = 7.728 Å
α = 113.91°, β = 113.91°, γ = 100.92°
Fractional coordinates of all 8 atoms:
Rb: 0.000 0.000 0.000
Rb: 0.750 0.250 0.500
Zr: 0.250 0.750 0.500
Zr: 0.500 0.500 0.000
Te: 0.208 0.625 0.083
Te: 0.375 0.458 0.583
Te: 0.542 0.125 0.917
Te: 0.875 0.792 0.417

---

9.
Here is a geometry-optimized In6HgBiPb2 structure from the Alexandria database. Energies are from PBE.

ΔH_f (0 K) = 0.056 eV/atom
D(E_F) = 4.52 states/eV/f.u.
total moment = 0.00 μB/f.u.

a = 6.869 Å, b = 10.344 Å, c = 10.168 Å
α = 90.00°, β = 124.17°, γ = 90.00°
Fractional coordinates of all 20 atoms:
In: 0.024 0.161 0.282
In: 0.024 0.339 0.782
In: 0.275 0.737 0.074
In: 0.275 0.763 0.574
In: 0.426 0.147 0.063
In: 0.426 0.353 0.563
In: 0.574 0.647 0.437
In: 0.574 0.853 0.937
In: 0.725 0.237 0.426
In: 0.725 0.263 0.926
In: 0.976 0.661 0.218
In: 0.976 0.839 0.718
Hg: 0.000 0.000 0.000
Hg: 0.000 0.500 0.500
Bi: 0.500 0.000 0.500
Bi: 0.500 0.500 0.000
Pb: 0.246 0.098 0.682
Pb: 0.246 0.402 0.182
Pb: 0.754 0.598 0.818
Pb: 0.754 0.902 0.318

---

10.
Here is a geometry-optimized Zr2HW structure from the Alexandria database. Energies are from PBE.

D(E_F) = 3.80 states/eV/f.u.
total moment = 0.00 μB/f.u.
offset from the most stable computed form = 0.000 eV/atom

a = 5.569 Å, b = 5.569 Å, c = 5.569 Å
α = 110.68°, β = 110.68°, γ = 107.07°
Fractional coordinates of all 8 atoms:
Zr: 0.041 0.625 0.916
Zr: 0.375 0.291 0.416
Zr: 0.709 0.125 0.084
Zr: 0.875 0.959 0.584
H: 0.000 0.000 0.000
H: 0.750 0.250 0.500
W: 0.250 0.750 0.500
W: 0.500 0.500 0.000

---

11.
Here is a geometry-optimized TbRuC2 structure from the Alexandria database. Energies are from PBE.

ΔH_f (0 K) = -0.206 eV/atom
D(E_F) = 2.69 states/eV/f.u.
total moment = 0.16 μB/f.u.

a = 5.101 Å, b = 5.101 Å, c = 5.254 Å
α = 90.00°, β = 90.00°, γ = 129.33°
Fractional coordinates of all 8 atoms:
Tb: 0.184 0.816 0.750
Tb: 0.816 0.184 0.250
Ru: 0.500 0.500 0.000
Ru: 0.500 0.500 0.500
C: 0.073 0.242 0.750
C: 0.242 0.073 0.250
C: 0.758 0.927 0.750
C: 0.927 0.758 0.250

---

12.
Here is a geometry-optimized Ba3Si5Se12 structure from the Alexandria database. Energies are from PBE.

D(E_F) = 9.71 states/eV/f.u.
raw formation energy = -0.75 eV per atom
total moment = 0.00 μB/f.u.

a = 14.205 Å, b = 14.205 Å, c = 14.205 Å
α = 109.47°, β = 109.47°, γ = 109.47°
Fractional coordinates of all 80 atoms:
Ba: 0.125 0.250 0.375
Ba: 0.125 0.375 0.750
Ba: 0.250 0.375 0.125
Ba: 0.250 0.875 0.625
Ba: 0.375 0.125 0.250
Ba: 0.375 0.750 0.125
Ba: 0.625 0.250 0.875
Ba: 0.625 0.875 0.750
Ba: 0.750 0.125 0.375
Ba: 0.750 0.625 0.875
Ba: 0.875 0.625 0.250
Ba: 0.875 0.750 0.625
Si: 0.000 0.000 0.000
Si: 0.000 0.000 0.500
Si: 0.000 0.500 0.000
Si: 0.000 0.500 0.500
Si: 0.125 0.750 0.875
Si: 0.125 0.875 0.250
Si: 0.250 0.125 0.875
Si: 0.250 0.625 0.375
Si: 0.375 0.250 0.625
Si: 0.375 0.625 0.750
Si: 0.500 0.000 0.000
Si: 0.500 0.000 0.500
Si: 0.500 0.500 0.000
Si: 0.500 0.500 0.500
Si: 0.625 0.375 0.250
Si: 0.625 0.750 0.375
Si: 0.750 0.375 0.625
Si: 0.750 0.875 0.125
Si: 0.875 0.125 0.750
Si: 0.875 0.250 0.125
Se: 0.013 0.200 0.110
Se: 0.013 0.313 0.903
Se: 0.090 0.700 0.687
Se: 0.090 0.890 0.403
Se: 0.097 0.610 0.410
Se: 0.097 0.987 0.687
Se: 0.110 0.013 0.200
Se: 0.110 0.597 0.910
Se: 0.187 0.200 0.590
Se: 0.187 0.487 0.597
Se: 0.200 0.110 0.013
Se: 0.200 0.590 0.187
Se: 0.300 0.313 0.910
Se: 0.300 0.487 0.390
Se: 0.313 0.903 0.013
Se: 0.313 0.910 0.300
Se: 0.390 0.300 0.487
Se: 0.390 0.590 0.903
Se: 0.403 0.090 0.890
Se: 0.403 0.813 0.513
Se: 0.410 0.097 0.610
Se: 0.410 0.813 0.800
Se: 0.487 0.390 0.300
Se: 0.487 0.597 0.187
Se: 0.513 0.403 0.813
Se: 0.513 0.610 0.700
Se: 0.590 0.187 0.200
Se: 0.590 0.903 0.390
Se: 0.597 0.187 0.487
Se: 0.597 0.910 0.110
Se: 0.610 0.410 0.097
Se: 0.610 0.700 0.513
Se: 0.687 0.090 0.700
Se: 0.687 0.097 0.987
Se: 0.700 0.513 0.610
Se: 0.700 0.687 0.090
Se: 0.800 0.410 0.813
Se: 0.800 0.890 0.987
Se: 0.813 0.513 0.403
Se: 0.813 0.800 0.410
Se: 0.890 0.403 0.090
Se: 0.890 0.987 0.800
Se: 0.903 0.013 0.313
Se: 0.903 0.390 0.590
Se: 0.910 0.110 0.597
Se: 0.910 0.300 0.313
Se: 0.987 0.687 0.097
Se: 0.987 0.800 0.890